CaV6O11F | PBE with a Hubbard U | relaxed

Lattice parameters (Å, degrees): 8.6575 6.3370 8.4442 90.00 90.00 90.00
With the nearest neighbours (Å) after each atom.
Space group Amm2 (No. 38)
One atom of each set of equivalent atoms:
Ca 0.0000 0.0000 0.0000  4 O 2.16-2.27
V 0.0000 0.0000 0.3403  6 O 1.98-2.14
V 0.1947 0.0000 0.7211  5 O 1.93-2.14
V 0.3256 0.0000 0.3165  1 O 1.72
V 0.5000 0.0000 0.9230  5 O 1.83-1.97
O 0.0000 0.1957 0.7753  3 V 2.01-2.14
O 0.1719 0.0000 0.4941  3 V 1.93-2.00
O 0.1851 0.0000 0.1719  1 V 1.72
O 0.3395 0.1886 0.8379  3 V 1.97-1.99
O 0.5000 0.0000 0.1397  1 V 1.83
F 0.5000 0.0000 0.4734  2 V 2.01

Values from the calculation:
- offset from the most stable computed form (eV/atom) = 0.0149
- V (Å³ per atom) = 12.2